[1]
## MgSc2Sb (PBEsol)

Data for MgSc2Sb after structural relaxation.

POSCAR file:
```
MgSc2Sb
1.0
-3.728 -0.199 -3.269
-2.838 -4.060 -0.282
-4.700 0.143 1.585
Mg Sb Sc
1 1 2
direct
0.000 0.000 0.000 Mg
0.500 0.500 0.500 Sb
0.750 0.750 0.750 Sc
0.250 0.250 0.250 Sc
```

Output
Offset from the most stable computed form = 0.085 eV/atom
Uncorrected energy = -20.98 eV per cell
Calculated volume = 21.6 Å³ per atom

***

[2]
## MgSbSe2 (PBEsol)

Data for MgSbSe2 after structural relaxation.

POSCAR file:
```
MgSbSe2
1.0
3.835 0.000 0.000
1.918 3.322 0.000
1.918 1.107 7.207
Sb Mg Se
1 1 2
direct
0.000 0.000 0.000 Sb
0.500 0.500 0.500 Mg
0.240 0.240 0.280 Se
0.760 0.760 0.720 Se
```

Output
Offset from the most stable computed form = 0.086 eV/atom
Uncorrected energy = -15.98 eV per cell
Calculated volume = 23.0 Å³ per atom

***

[3]
## MgSbSe2 (PBEsol)

Data for MgSbSe2 after structural relaxation.

POSCAR file:
```
MgSbSe2
1.0
-0.950 -0.021 -3.978
-3.901 -0.381 -1.169
-2.473 8.144 -1.555
Sb Mg Se
1 1 2
direct
0.500 0.500 0.500 Sb
0.000 0.000 0.000 Mg
0.898 0.898 0.307 Se
0.102 0.102 0.693 Se
```

Output
Offset from the most stable computed form = 0.412 eV/atom
Uncorrected energy = -14.67 eV per cell
Calculated volume = 30.1 Å³ per atom

***

[4]
## MgSbSe2 (PBEsol)

Data for MgSbSe2 after structural relaxation.

POSCAR file:
```
MgSbSe2
1.0
3.862 0.000 0.000
0.000 4.305 0.101
-1.931 -0.132 5.626
Sb Mg Se
1 1 2
direct
0.756 0.875 0.512 Sb
0.493 0.375 0.986 Mg
0.995 0.875 0.990 Se
0.256 0.375 0.512 Se
```

Output
Offset from the most stable computed form = 0.103 eV/atom
Uncorrected energy = -15.91 eV per cell
Calculated volume = 23.4 Å³ per atom

***

[5]
## MgSb2Se (PBEsol)

Data for MgSb2Se after structural relaxation.

POSCAR file:
```
MgSb2Se
1.0
5.082 -0.010 0.000
-1.683 4.795 0.000
-1.700 -2.393 4.149
Sb Mg Se
2 1 1
direct
0.500 0.000 0.500 Sb
0.000 0.500 0.500 Sb
0.000 0.000 0.000 Mg
0.500 0.500 0.000 Se
```

Output
Offset from the most stable computed form = 0.000 eV/atom
Uncorrected energy = -15.78 eV per cell
Calculated volume = 25.3 Å³ per atom

***

[6]
## MgSb2Se (PBEsol)

Data for MgSb2Se after structural relaxation.

POSCAR file:
```
MgSb2Se
1.0
3.467 0.000 0.000
0.000 4.113 0.029
-1.733 -1.943 7.119
Sb Mg Se
2 1 1
direct
0.949 0.926 0.898 Sb
0.798 0.304 0.595 Sb
0.195 0.707 0.389 Mg
0.559 0.563 0.118 Se
```

Output
Offset from the most stable computed form = 0.077 eV/atom
Uncorrected energy = -15.47 eV per cell
Calculated volume = 25.4 Å³ per atom

***

[7]
## MgSbSe2 (PBEsol)

Data for MgSbSe2 after structural relaxation.

POSCAR file:
```
MgSbSe2
1.0
-0.860 3.269 1.579
-2.957 -1.738 -2.420
-0.837 -3.151 6.069
Sb Mg Se
1 1 2
direct
0.500 0.000 0.000 Sb
0.000 0.000 0.500 Mg
0.720 0.440 0.727 Se
0.280 0.560 0.273 Se
```

Output
Offset from the most stable computed form = 0.077 eV/atom
Uncorrected energy = -16.01 eV per cell
Calculated volume = 23.3 Å³ per atom

***

[8]
## MgSbSe2 (PBEsol)

Data for MgSbSe2 after structural relaxation.

POSCAR file:
```
MgSbSe2
1.0
5.727 0.000 0.000
0.000 3.945 1.039
0.000 -1.030 3.908
Mg Sb Se
1 1 2
direct
0.000 0.624 0.375 Mg
0.500 0.125 0.875 Sb
0.000 0.125 0.875 Se
0.500 0.625 0.375 Se
```

Output
Offset from the most stable computed form = 0.000 eV/atom
Uncorrected energy = -16.32 eV per cell
Calculated volume = 23.6 Å³ per atom

***

[9]
## MgSbSe2 (PBEsol)

Data for MgSbSe2 after structural relaxation.

POSCAR file:
```
MgSbSe2
1.0
3.950 0.000 0.000
1.975 4.995 0.140
1.975 0.536 4.968
Mg Sb Se
1 1 2
direct
0.000 0.500 0.500 Mg
0.500 0.000 0.000 Sb
0.264 0.736 0.736 Se
0.736 0.264 0.264 Se
```

Output
Offset from the most stable computed form = 0.248 eV/atom
Uncorrected energy = -15.33 eV per cell
Calculated volume = 24.4 Å³ per atom

***

[10]
## MgTcSb2Se (PBEsol)

Data for MgTcSb2Se after structural relaxation.

POSCAR file:
```
MgTcSb2Se
1.0
-3.520 -3.050 -0.529
3.517 -3.971 -0.509
-0.117 -0.779 5.270
Sb Mg Tc Se
2 1 1 1
direct
0.000 0.000 0.500 Sb
0.000 0.500 0.000 Sb
0.500 0.000 0.000 Mg
0.500 0.500 0.500 Tc
0.000 0.000 0.000 Se
```

Output
Uncorrected energy = -20.56 eV per cell
Calculated volume = 26.6 Å³ per atom

***

[11]
## MgTiSbSe2 (PBEsol)

Data for MgTiSbSe2 after structural relaxation.

POSCAR file:
```
MgTiSbSe2
1.0
-1.772 -4.384 0.708
3.933 -1.903 -1.942
2.315 -0.153 4.840
Sb Mg Se Ti
1 1 2 1
direct
0.500 0.500 0.500 Sb
0.000 0.000 0.000 Mg
0.000 0.500 0.000 Se
0.500 0.000 0.000 Se
0.000 0.000 0.500 Ti
```

Output
Uncorrected energy = -19.60 eV per cell
Calculated volume = 24.5 Å³ per atom

***

[12]
## MgSi2Sb (PBEsol)

Data for MgSi2Sb after structural relaxation.

POSCAR file:
```
MgSi2Sb
1.0
2.898 0.000 0.000
0.000 4.137 0.000
0.000 0.000 6.567
Sb Si Mg
1 2 1
direct
0.000 0.500 0.000 Sb
0.000 0.000 0.304 Si
0.000 0.000 0.696 Si
0.500 0.500 0.500 Mg
```

Output
Offset from the most stable computed form = 0.000 eV/atom
Uncorrected energy = -17.07 eV per cell
Calculated volume = 19.7 Å³ per atom

***

[13]
## MgSi2Sb (PBEsol)

Data for MgSi2Sb after structural relaxation.

POSCAR file:
```
MgSi2Sb
1.0
3.951 0.013 0.000
-0.126 3.949 0.000
-1.912 -1.981 5.045
Sb Si Mg
1 2 1
direct
0.000 0.000 0.000 Sb
0.500 0.000 0.500 Si
0.000 0.500 0.500 Si
0.500 0.500 0.000 Mg
```

Output
Offset from the most stable computed form = 0.025 eV/atom
Uncorrected energy = -16.97 eV per cell
Calculated volume = 19.7 Å³ per atom

***

[14]
## MgSi2Sb (PBEsol)

Data for MgSi2Sb after structural relaxation.

POSCAR file:
```
MgSi2Sb
1.0
-5.084 2.313 -2.766
-3.211 -0.728 5.293
5.641 4.431 0.360
Sb Si Mg
2 4 2
direct
0.250 0.750 0.500 Sb
0.000 0.000 0.000 Sb
0.370 0.875 0.250 Si
0.880 0.375 0.250 Si
0.125 0.120 0.750 Si
0.625 0.630 0.750 Si
0.750 0.250 0.500 Mg
0.500 0.500 0.000 Mg
```

Output
Offset from the most stable computed form = 0.253 eV/atom
Uncorrected energy = -32.12 eV per cell
Calculated volume = 27.5 Å³ per atom

***

[15]
## MgSi3Sb (PBEsol)

Data for MgSi3Sb after structural relaxation.

POSCAR file:
```
MgSi3Sb
1.0
-1.938 -4.369 0.825
1.582 0.164 4.582
-4.156 2.100 1.360
Sb Si Mg
1 3 1
direct
0.500 0.500 0.500 Sb
0.000 0.500 0.000 Si
0.000 0.000 0.500 Si
0.500 0.000 0.000 Si
0.000 0.000 0.000 Mg
```

Output
Uncorrected energy = -18.24 eV per cell
Calculated volume = 22.8 Å³ per atom

***

[16]
## MgSi2Sb (PBEsol)

Data for MgSi2Sb after structural relaxation.

POSCAR file:
```
MgSi2Sb
1.0
-4.216 -0.459 2.213
-1.579 -4.336 1.263
-0.155 -1.238 4.619
Sb Si Mg
1 2 1
direct
0.250 0.250 0.250 Sb
0.000 0.000 0.000 Si
0.750 0.750 0.750 Si
0.500 0.500 0.500 Mg
```

Output
Offset from the most stable computed form = 0.162 eV/atom
Uncorrected energy = -16.42 eV per cell
Calculated volume = 19.4 Å³ per atom

***

[17]
## MgSiSbTe2 (PBEsol)

Data for MgSiSbTe2 after structural relaxation.

POSCAR file:
```
MgSiSbTe2
1.0
5.253 0.000 0.000
0.000 5.253 0.000
0.000 0.000 5.143
Sb Si Te Mg
1 1 2 1
direct
0.000 0.000 0.500 Sb
0.000 0.000 0.000 Si
0.000 0.500 0.000 Te
0.500 0.000 0.000 Te
0.500 0.500 0.500 Mg
```

Output
Uncorrected energy = -17.42 eV per cell
Calculated volume = 28.4 Å³ per atom

***

[18]
## SmMg5Sb4 (PBEsol)

Data for SmMg5Sb4 after structural relaxation.

POSCAR file:
```
SmMg5Sb4
1.0
4.611 0.000 0.000
-2.305 3.993 0.000
0.000 0.000 14.434
Sb Mg Sm
4 5 1
direct
0.667 0.333 0.878 Sb
0.333 0.667 0.122 Sb
0.667 0.333 0.390 Sb
0.333 0.667 0.610 Sb
0.667 0.333 0.674 Mg
0.333 0.667 0.326 Mg
0.000 0.000 0.500 Mg
0.667 0.333 0.189 Mg
0.333 0.667 0.811 Mg
0.000 0.000 0.000 Sm
```

Output
Uncorrected energy = -37.02 eV per cell
Calculated volume = 26.6 Å³ per atom

***

[19]
## MgSnSb3 (PBEsol)

Data for MgSnSb3 after structural relaxation.

POSCAR file:
```
MgSnSb3
1.0
-5.116 -0.678 -1.238
0.966 -5.075 -1.213
-1.029 -1.395 5.016
Sb Mg Sn
3 1 1
direct
0.000 0.500 0.000 Sb
0.000 0.000 0.500 Sb
0.500 0.000 0.000 Sb
0.000 0.000 0.000 Mg
0.500 0.500 0.500 Sn
```

Output
Uncorrected energy = -17.03 eV per cell
Calculated volume = 29.9 Å³ per atom

***

[20]
## SrMg2Sb (PBEsol)

Data for SrMg2Sb after structural relaxation.

POSCAR file:
```
SrMg2Sb
1.0
4.280 0.000 0.000
0.000 4.992 -0.103
-2.140 -2.401 5.321
Mg Sb Sr
2 1 1
direct
0.272 0.272 0.545 Mg
0.728 0.728 0.455 Mg
0.000 0.500 0.000 Sb
0.500 0.000 0.000 Sr
```

Output
Uncorrected energy = -11.07 eV per cell
Calculated volume = 28.2 Å³ per atom

***

[21]
## SrMg3Sb (PBEsol)

Data for SrMg3Sb after structural relaxation.

POSCAR file:
```
SrMg3Sb
1.0
5.539 0.000 0.000
0.000 5.539 0.000
0.000 0.000 5.539
Sb Mg Sr
1 3 1
direct
0.000 0.000 0.000 Sb
0.000 0.500 0.000 Mg
0.000 0.000 0.500 Mg
0.500 0.000 0.000 Mg
0.500 0.500 0.500 Sr
```

Output
Uncorrected energy = -10.91 eV per cell
Calculated volume = 34.0 Å³ per atom

***

[22]
## Sr2MgSb (PBEsol)

Data for Sr2MgSb after structural relaxation.

POSCAR file:
```
Sr2MgSb
1.0
-1.314 -0.048 4.472
3.976 -2.378 1.143
0.980 6.599 0.359
Sb Mg Sr
1 1 2
direct
0.500 0.675 0.350 Sb
0.000 0.822 0.644 Mg
0.000 0.111 0.222 Sr
0.500 0.396 0.791 Sr
```

Output
Offset from the most stable computed form = 0.000 eV/atom
Uncorrected energy = -12.39 eV per cell
Calculated volume = 34.7 Å³ per atom

***

[23]
## Sr2MgSb (PBEsol)

Data for Sr2MgSb after structural relaxation.

POSCAR file:
```
Sr2MgSb
1.0
4.801 0.000 0.000
0.000 4.801 0.000
-2.400 -2.400 5.663
Mg Sb Sr
1 1 2
direct
0.500 0.500 0.000 Mg
0.250 0.750 0.500 Sb
0.000 0.000 0.000 Sr
0.750 0.250 0.500 Sr
```

Output
Offset from the most stable computed form = 0.196 eV/atom
Uncorrected energy = -11.61 eV per cell
Calculated volume = 32.6 Å³ per atom

***

[24]
## MgTa2Sb (PBEsol)

Data for MgTa2Sb after structural relaxation.

POSCAR file:
```
MgTa2Sb
1.0
2.963 0.015 0.000
-0.912 2.820 0.000
0.000 0.000 9.201
Mg Sb Ta
1 1 2
direct
0.500 0.500 0.500 Mg
0.500 0.500 0.000 Sb
0.000 0.000 0.241 Ta
0.000 0.000 0.759 Ta
```

Output
Offset from the most stable computed form = 0.112 eV/atom
Uncorrected energy = -29.99 eV per cell
Calculated volume = 19.3 Å³ per atom

***

[25]
## MgTaSb (PBEsol)

Data for MgTaSb after structural relaxation.

POSCAR file:
```
MgTaSb
1.0
-1.727 0.838 -2.352
2.650 -0.838 -1.220
-2.877 -6.726 1.161
Sb Mg Ta
1 1 1
direct
0.317 0.317 0.633 Sb
0.015 0.015 0.031 Mg
0.668 0.668 0.336 Ta
```

Output
Offset from the most stable computed form = 0.000 eV/atom
Uncorrected energy = -18.31 eV per cell
Calculated volume = 21.3 Å³ per atom

***

[26]
## MgTaSb (PBEsol)

Data for MgTaSb after structural relaxation.

POSCAR file:
```
MgTaSb
1.0
-1.413 1.775 1.858
-4.094 -2.618 -0.612
3.162 -1.193 3.544
Sb Mg Ta
1 1 1
direct
0.501 0.667 0.333 Sb
0.000 0.000 0.000 Mg
0.499 0.333 0.667 Ta
```

Output
Offset from the most stable computed form = 0.128 eV/atom
Uncorrected energy = -17.93 eV per cell
Calculated volume = 20.3 Å³ per atom

***

[27]
## MgTaSb (PBEsol)

Data for MgTaSb after structural relaxation.

POSCAR file:
```
MgTaSb
1.0
4.604 0.000 0.000
2.302 3.987 0.000
2.302 1.329 3.759
Sb Mg Ta
1 1 1
direct
0.250 0.250 0.250 Sb
0.500 0.500 0.500 Mg
0.000 0.000 0.000 Ta
```

Output
Offset from the most stable computed form = 0.451 eV/atom
Uncorrected energy = -16.96 eV per cell
Calculated volume = 23.0 Å³ per atom

***

[28]
## MgTaSb2 (PBEsol)

Data for MgTaSb2 after structural relaxation.

POSCAR file:
```
MgTaSb2
1.0
-2.954 1.364 2.087
0.469 -2.874 2.542
3.635 3.260 3.015
Mg Sb Ta
1 2 1
direct
0.500 0.500 0.776 Mg
0.000 0.000 0.955 Sb
0.500 0.500 0.298 Sb
0.000 0.000 0.470 Ta
```

Output
Uncorrected energy = -23.08 eV per cell
Calculated volume = 21.4 Å³ per atom

***

[29]
## MgTaSb2 (PBEsol)

Data for MgTaSb2 after structural relaxation.

POSCAR file:
```
MgTaSb2
1.0
-2.731 1.273 -0.289
-0.576 -2.674 1.296
1.004 4.246 9.210
Mg Sb Ta
1 2 1
direct
0.500 0.500 0.270 Mg
0.000 0.000 0.035 Sb
0.500 0.500 0.705 Sb
0.000 0.000 0.491 Ta
```

Output
Uncorrected energy = -22.89 eV per cell
Calculated volume = 22.7 Å³ per atom

***

[30]
## MgTa2Sb (PBEsol)

Data for MgTa2Sb after structural relaxation.

POSCAR file:
```
MgTa2Sb
1.0
3.225 0.000 0.000
1.613 2.793 0.000
1.613 0.931 9.253
Mg Sb Ta
1 1 2
direct
0.496 0.496 0.512 Mg
0.257 0.257 0.228 Sb
0.004 0.004 0.987 Ta
0.742 0.742 0.773 Ta
```

Output
Offset from the most stable computed form = 0.000 eV/atom
Uncorrected energy = -30.44 eV per cell
Calculated volume = 20.8 Å³ per atom